No. 1
LiHfZn2: relaxed, PBE-GGA.

Output
- ΔE to the lowest computed polymorph (eV per formula unit) = 1.52
- space group = I-42d, No. 122
- ΔE_f (eV/atom) = 0.215
- total DFT energy (no corrections) (eV per atom) = -3.389
- theoretical density (g/cm3) = 7.49
- volume (A^3/atom) = 17.53

abc: 5.7237 5.7237 5.7237
angles: 104.21 104.21 120.59
With the nearest neighbours (Å) after each atom.
Positions (direct):
1 Li 0.0000 0.0000 0.0000  4 Zn 2.43
2 Li 0.7500 0.2500 0.5000  4 Zn 2.43
3 Hf 0.2500 0.7500 0.5000  4 Zn 2.75, 2 Li 2.84
4 Hf 0.5000 0.5000 0.0000  4 Zn 2.75, 2 Li 2.84
5 Zn 0.0911 0.6250 0.9661  2 Li 2.43
6 Zn 0.3750 0.3411 0.4661  2 Li 2.43
7 Zn 0.6589 0.1250 0.0339  2 Li 2.43
8 Zn 0.8750 0.9089 0.5339  2 Li 2.43



No. 2
ZnSi2Tc: relaxed, PBE-GGA.

Output
- ΔE to the lowest computed polymorph (eV per formula unit) = 0.72
- space group = I-4m2, No. 119
- total DFT energy (no corrections) (eV per atom) = -5.553
- theoretical density (g/cm3) = 6.72
- energy relative to the elements, uncorrected (eV per atom) = 0.0689
- volume (A^3/atom) = 13.57

abc: 4.7601 4.7601 4.7601
angles: 134.35 134.35 66.54
With the nearest neighbours (Å) after each atom.
Positions (direct):
1 Zn 0.0000 0.0000 0.0000  8 Si 2.61-2.71, 4 Tc 2.71
2 Si 0.2500 0.7500 0.5000  4 Tc 2.61, 4 Si 2.71, 4 Zn 2.71
3 Si 0.5000 0.5000 0.0000  4 Zn 2.61, 4 Tc 2.71, 4 Si 2.71
4 Tc 0.7500 0.2500 0.5000  8 Si 2.61-2.71, 4 Zn 2.71



No. 3
Ti3CuPt: relaxed, PBE-GGA.

Output
- ΔE to the lowest computed polymorph (eV per formula unit) = 2.39
- space group = Pm-3m, No. 221
- ΔE_f (eV/atom) = 0.479
- total DFT energy (no corrections) (eV per atom) = -6.285
- theoretical density (g/cm3) = 7.31
- volume (A^3/atom) = 18.28

abc: 4.5045 4.5045 4.5045
angles: 90.00 90.00 90.00
With the nearest neighbours (Å) after each atom.
Positions (direct):
1 Ti 0.0000 0.0000 0.5000  2 Cu 2.25
2 Ti 0.0000 0.5000 0.0000  2 Cu 2.25
3 Ti 0.5000 0.0000 0.0000  2 Cu 2.25
4 Cu 0.0000 0.0000 0.0000  6 Ti 2.25
5 Pt 0.5000 0.5000 0.5000  12 Ti 3.19



No. 4
La6Tb2NdSc: relaxed, PBE-GGA.

Output
- space group = C2/m, No. 12
- ΔE_f (eV/atom) = 0.211
- total DFT energy (no corrections) (eV per atom) = -4.781
- theoretical density (g/cm3) = 6.32
- volume (A^3/atom) = 35.22

abc: 6.7874 6.7874 8.8899
angles: 101.94 101.94 62.40
With the nearest neighbours (Å) after each atom.
Positions (direct):
1 La 0.0944 0.5798 0.1974  2 Tb 3.28-3.54, 1 Nd 3.36, 1 Sc 3.40, 3 La 3.41-3.62
2 La 0.1330 0.1330 0.4036  1 Sc 3.55, 7 La 3.74-3.92
3 La 0.4202 0.9056 0.8026  2 Tb 3.28-3.54, 1 Nd 3.36, 1 Sc 3.40, 3 La 3.41-3.62
4 La 0.5798 0.0944 0.1974  2 Tb 3.28-3.54, 1 Nd 3.36, 1 Sc 3.40, 3 La 3.41-3.62
5 La 0.8670 0.8670 0.5964  1 Sc 3.55, 7 La 3.74-3.92
6 La 0.9056 0.4202 0.8026  2 Tb 3.28-3.54, 1 Nd 3.36, 1 Sc 3.40, 3 La 3.41-3.62
7 Tb 0.4040 0.4040 0.8386  1 Tb 3.18, 4 La 3.28-3.54, 1 Nd 3.45
8 Tb 0.5960 0.5960 0.1614  1 Tb 3.18, 4 La 3.28-3.54, 1 Nd 3.45
9 Nd 0.5000 0.5000 0.5000  4 La 3.36, 2 Tb 3.45
10 Sc 0.0000 0.0000 0.0000  6 La 3.40-3.55



No. 5
LuInAu4: relaxed, PBE-GGA.

Output
- space group = F-43m, No. 216
- ΔE_f (eV/atom) = -0.396
- total DFT energy (no corrections) (eV per atom) = -3.791
- theoretical density (g/cm3) = 14.54
- volume (A^3/atom) = 20.51

abc: 5.5828 5.5828 5.5828
angles: 60.00 60.00 60.00
With the nearest neighbours (Å) after each atom.
Positions (direct):
1 Lu 0.0000 0.0000 0.0000  12 Au 3.27, 4 In 3.42
2 In 0.2500 0.2500 0.2500  12 Au 3.27, 4 Lu 3.42
3 Au 0.1249 0.6250 0.6250  6 Au 2.79
4 Au 0.6250 0.1249 0.6250  6 Au 2.79
5 Au 0.6250 0.6250 0.1249  6 Au 2.79
6 Au 0.6250 0.6250 0.6250  6 Au 2.79



No. 6
CePu2N4: relaxed, PBE-GGA.

Output
- ΔE to the lowest computed polymorph (eV per formula unit) = 0.00
- space group = Fd-3m, No. 227
- total DFT energy (no corrections) (eV per atom) = -10.904
- theoretical density (g/cm3) = 9.92
- energy relative to the elements, uncorrected (eV per atom) = -1.2043
- volume (A^3/atom) = 16.36

abc: 6.8671 6.8671 6.8671
angles: 60.00 60.00 60.00
With the nearest neighbours (Å) after each atom.
Positions (direct):
1 Ce 0.1250 0.1250 0.1250  4 N 2.34
2 Ce 0.8750 0.8750 0.8750  4 N 2.34
3 Pu 0.0000 0.5000 0.5000  6 N 2.30
4 Pu 0.5000 0.0000 0.5000  6 N 2.30
5 Pu 0.5000 0.5000 0.0000  6 N 2.30
6 Pu 0.5000 0.5000 0.5000  6 N 2.30
7 N 0.2643 0.2643 0.2643  3 Pu 2.30, 1 Ce 2.34
8 N 0.2643 0.2643 0.7070  3 Pu 2.30, 1 Ce 2.34
9 N 0.2643 0.7070 0.2643  3 Pu 2.30, 1 Ce 2.34
10 N 0.2930 0.7357 0.7357  3 Pu 2.30, 1 Ce 2.34
11 N 0.7070 0.2643 0.2643  3 Pu 2.30, 1 Ce 2.34
12 N 0.7357 0.2930 0.7357  3 Pu 2.30, 1 Ce 2.34
13 N 0.7357 0.7357 0.2930  3 Pu 2.30, 1 Ce 2.34
14 N 0.7357 0.7357 0.7357  3 Pu 2.30, 1 Ce 2.34



No. 7
Nb2TcPtN: relaxed, PBE-GGA.

Output
- space group = P4/mmm, No. 123
- total DFT energy (no corrections) (eV per atom) = -9.549
- theoretical density (g/cm3) = 11.27
- energy relative to the elements, uncorrected (eV per atom) = -0.5745
- volume (A^3/atom) = 14.53

abc: 4.2338 4.2338 4.0520
angles: 90.00 90.00 90.00
With the nearest neighbours (Å) after each atom.
Positions (direct):
1 Nb 0.0000 0.5000 0.0000  2 N 2.12
2 Nb 0.5000 0.0000 0.0000  2 N 2.12
3 Tc 0.0000 0.0000 0.5000  2 N 2.03
4 Pt 0.5000 0.5000 0.5000  8 Nb 2.93, 4 Tc 2.99
5 N 0.0000 0.0000 0.0000  2 Tc 2.03, 4 Nb 2.12



No. 8
Zn2MoPb: relaxed, PBE-GGA.

Output
- space group = Cm, No. 8
- ΔE_f (eV/atom) = 0.421
- total DFT energy (no corrections) (eV per atom) = -3.850
- theoretical density (g/cm3) = 9.48
- volume (A^3/atom) = 19.00

abc: 5.6293 5.6293 4.8974
angles: 99.94 99.94 29.85
With the nearest neighbours (Å) after each atom.
Positions (direct):
1 Zn 0.0000 0.0000 0.0000  3 Zn 2.62-2.90, 4 Mo 2.87-2.88
2 Zn 0.2155 0.2155 0.8323  3 Zn 2.62-2.90, 2 Mo 2.68
3 Mo 0.5375 0.5375 0.5141  6 Zn 2.68-2.88, 2 Mo 2.90, 2 Pb 2.99
4 Pb 0.7946 0.7946 0.3550  2 Pb 2.90, 5 Zn 2.93-3.07, 3 Mo 2.99-3.03



No. 9
Be2CrCl: relaxed, PBE-GGA.

Output
- ΔE to the lowest computed polymorph (eV per formula unit) = 2.50
- space group = F-43m, No. 216
- total DFT energy (no corrections) (eV per atom) = -3.911
- theoretical density (g/cm3) = 3.44
- energy relative to the elements, uncorrected (eV per atom) = 0.8199
- volume (A^3/atom) = 12.74

abc: 4.1619 4.1619 4.1619
angles: 60.00 60.00 60.00
With the nearest neighbours (Å) after each atom.
Positions (direct):
1 Be 0.0000 0.0000 0.0000  4 Cl 2.55, 4 Be 2.55
2 Be 0.2500 0.2500 0.2500  4 Cr 2.55, 4 Be 2.55
3 Cr 0.5000 0.5000 0.5000  4 Cl 2.55, 4 Be 2.55
4 Cl 0.7500 0.7500 0.7500  4 Cr 2.55, 4 Be 2.55



No. 10
NdGaCu3: relaxed, PBE-GGA.

Output
- ΔE to the lowest computed polymorph (eV per formula unit) = 1.42
- space group = I-4m2, No. 119
- ΔE_f (eV/atom) = 0.071
- total DFT energy (no corrections) (eV per atom) = -3.946
- theoretical density (g/cm3) = 6.63
- volume (A^3/atom) = 20.28

abc: 10.6987 10.6987 10.6987
angles: 155.97 155.97 34.24
With the nearest neighbours (Å) after each atom.
Positions (direct):
1 Nd 0.0000 0.0000 0.0000  4 Cu 2.80
2 Nd 0.7500 0.2500 0.5000  4 Cu 2.78
3 Ga 0.4243 0.4243 0.0000  6 Cu 2.56-2.69
4 Ga 0.5757 0.5757 0.0000  6 Cu 2.56-2.69
5 Cu 0.1372 0.6372 0.5000  4 Cu 2.50, 2 Ga 2.56
6 Cu 0.3628 0.8628 0.5000  4 Cu 2.50, 2 Ga 2.56
7 Cu 0.3766 0.1256 0.2510  2 Cu 2.22-2.24
8 Cu 0.8744 0.1254 0.2510  2 Cu 2.22-2.24
9 Cu 0.8744 0.6234 0.7490  2 Cu 2.22-2.24
10 Cu 0.8746 0.1256 0.7490  2 Cu 2.22-2.24



No. 11
Ca2La2Ti3CuO12: relaxed, PBE-GGA.

Output
- space group = P4/mmm, No. 123
- total DFT energy (no corrections) (eV per atom) = -7.947
- theoretical density (g/cm3) = 5.23
- energy relative to the elements, uncorrected (eV per atom) = -2.8898
- volume (A^3/atom) = 12.02

abc: 3.8882 3.8882 15.9058
angles: 90.00 90.00 90.00
With the nearest neighbours (Å) after each atom.
Positions (direct):
1 Ca 0.0000 0.0000 0.1215  12 O 2.74-2.78
2 Ca 0.0000 0.0000 0.8785  12 O 2.74-2.78
3 La 0.0000 0.0000 0.3844  12 O 2.68-2.93
4 La 0.0000 0.0000 0.6156  12 O 2.68-2.93
5 Ti 0.5000 0.5000 0.0000  6 O 1.94-1.95
6 Ti 0.5000 0.5000 0.2456  6 O 1.92-1.96
7 Ti 0.5000 0.5000 0.7544  6 O 1.92-1.96
8 Cu 0.5000 0.5000 0.5000  6 O 1.94-2.13
9 O 0.0000 0.5000 0.0000  2 Ti 1.94
10 O 0.0000 0.5000 0.2463  2 Ti 1.94
11 O 0.0000 0.5000 0.5000  2 Cu 1.94
12 O 0.0000 0.5000 0.7537  2 Ti 1.94
13 O 0.5000 0.0000 0.0000  2 Ti 1.94
14 O 0.5000 0.0000 0.2463  2 Ti 1.94
15 O 0.5000 0.0000 0.5000  2 Cu 1.94
16 O 0.5000 0.0000 0.7537  2 Ti 1.94
17 O 0.5000 0.5000 0.1223  2 Ti 1.95-1.96
18 O 0.5000 0.5000 0.3661  1 Ti 1.92, 1 Cu 2.13
19 O 0.5000 0.5000 0.6339  1 Ti 1.92, 1 Cu 2.13
20 O 0.5000 0.5000 0.8777  2 Ti 1.95-1.96



No. 12
Gd2InF: relaxed, PBE-GGA.

Output
- ΔE to the lowest computed polymorph (eV per formula unit) = 0.64
- space group = P4/mmm, No. 123
- total DFT energy (no corrections) (eV per atom) = -9.345
- theoretical density (g/cm3) = 8.21
- energy relative to the elements, uncorrected (eV per atom) = -1.1524
- volume (A^3/atom) = 22.66

abc: 3.3379 3.3379 8.1347
angles: 90.00 90.00 90.00
With the nearest neighbours (Å) after each atom.
Positions (direct):
1 Gd 0.0000 0.0000 0.2264  4 F 2.99, 4 In 3.24, 4 Gd 3.34
2 Gd 0.0000 0.0000 0.7736  4 F 2.99, 4 In 3.24, 4 Gd 3.34
3 In 0.5000 0.5000 0.5000  8 Gd 3.24, 4 In 3.34
4 F 0.5000 0.5000 0.0000  8 Gd 2.99, 4 F 3.34



Look up the volume of the seventh one. 14.53 A^3/atom



Look up the volume of the eighth one. 19.00 A^3/atom



The highest total DFT energy (no corrections) belongs to which entry? LiHfZn2